Here is an optimized crystal structure of Rb2CdGa4Ge3 from Alexandria via LeMat-Bulk. Energies are from PBE.

- calculated formation energy (meV per atom) = -82

a = 4.713 Å, b = 4.713 Å, c = 10.999 Å
α = 90.00°, β = 90.00°, γ = 90.00°
Space group P-4m2 (No. 115)
Symmetry-distinct sites (fractional):
Rb: 0.000 0.500 0.242 x2
Cd: 0.000 0.000 0.500 x1
Ga: 0.000 0.000 0.000 x1
Ga: 0.000 0.500 0.636 x2
Ga: 0.500 0.500 0.000 x1
Ge: 0.000 0.500 0.877 x2
Ge: 0.500 0.500 0.500 x1



Here is an optimized crystal structure of Ho2ThRu from Alexandria via LeMat-Bulk. Energies are from PBE.

- E above lowest polymorph (meV per atom) = 48
- calculated formation energy (meV per atom) = -310

a = 3.809 Å, b = 11.946 Å, c = 9.547 Å
α = 90.00°, β = 90.00°, γ = 90.00°
Space group Cmcm (No. 63)
Symmetry-distinct sites (fractional):
Ho: 0.000 0.142 0.070 x8
Th: 0.000 0.421 0.250 x4
Ru: 0.000 0.240 0.750 x4